# 1
A relaxed DyYTlO crystal. Source: Alexandria, functional PBE.

Output
ρ = 8.41 g/cm3
electronic total energy = -25.02 eV per cell
energy relative to the elements, uncorrected = -1656 meV/atom

Cell: 3.656 3.657 7.434 Å, 104.24 104.23 90.00°
Last column: magnetic moment on the atom in μB.
Element x y z (fractional)
1 O 0.570 0.528 0.141  0.01
2 Y 0.664 0.123 0.329  0.20
3 Dy 0.979 0.437 0.957  0.26
4 Tl 0.322 0.780 0.643  0.01

***

# 2
A relaxed DyY2TlO crystal. Source: Alexandria, functional PBE.

Output
ρ = 8.44 g/cm3
electronic total energy = -31.66 eV per cell
energy relative to the elements, uncorrected = -1360 meV/atom

Cell: 4.772 4.810 4.810 Å, 90.00 90.00 90.00°
Element x y z (fractional)
1 O 0.000 0.000 0.000
2 Tl 0.500 0.500 0.500
3 Y 0.000 0.000 0.500
4 Dy 0.500 0.000 0.000
5 Y 0.000 0.500 0.000

***

# 3
A relaxed Dy4TlZnO crystal. Source: Alexandria, functional PBE.

Output
ρ = 9.18 g/cm3
electronic total energy = -67.78 eV per cell
energy relative to the elements, uncorrected = -983 meV/atom

Cell: 6.546 6.567 8.525 Å, 90.00 112.58 90.00°
Element x y z (fractional)
1 Tl 0.111 0.250 0.222
2 Dy 0.567 0.250 0.134
3 Dy 0.081 0.750 0.163
4 Dy 0.500 0.000 0.500
5 Dy 0.000 0.000 0.500
6 Dy 0.433 0.750 0.866
7 Tl 0.889 0.750 0.778
8 Dy 0.000 0.500 0.500
9 Zn 0.621 0.750 0.243
10 Dy 0.500 0.500 0.500
11 O 0.244 0.750 0.488
12 Dy 0.919 0.250 0.837
13 Zn 0.379 0.250 0.757
14 O 0.756 0.250 0.512

***

# 4
A relaxed DyTlZnO4 crystal. Source: Alexandria, functional PBE.

Output
ρ = 8.10 g/cm3
electronic total energy = -81.52 eV per cell
energy relative to the elements, uncorrected = -1812 meV/atom

Cell: 6.522 6.599 6.599 Å, 61.07 60.39 60.39°
Element x y z (fractional)
1 O 0.752 0.752 0.744
2 Zn 0.381 0.369 0.869
3 Zn 0.619 0.631 0.131
4 O 0.752 0.244 0.252
5 Dy 0.000 0.000 0.000
6 O 0.239 0.748 0.248
7 Tl 0.000 0.000 0.500
8 O 0.761 0.252 0.752
9 O 0.248 0.248 0.256
10 Dy 0.000 0.500 0.500
11 O 0.248 0.756 0.748
12 Tl 0.500 0.000 0.500
13 O 0.765 0.748 0.248
14 O 0.235 0.252 0.752

***

- What is the electronic total energy in the second record?
  -31.66 eV per cell